Record 1
Computed, not measured: MnAgBr at its PBEsol-relaxed geometry at the SCAN level of DFT.

Calculated values
For the raw total energy, the calculation gives -23.25 eV per atom. The calculation puts the volume at 59.8 Å³/cell. The mass density is 6.7 g/cm³.

Geometry as CIF:
```
data_MnAgBr
_space_group_name_H-M_alt 'P 3 m 1'
_space_group_IT_number 156
_cell_length_a 3.3576
_cell_length_b 3.3576
_cell_length_c 6.1217
_cell_angle_alpha 90.00
_cell_angle_beta 90.00
_cell_angle_gamma 120.00
loop_
_space_group_symop_operation_xyz
'x,y,z'
'-y,x-y,z'
'-x+y,-x,z'
'-y,-x,z'
'-x+y,y,z'
'x,x-y,z'
loop_
_atom_site_label
_atom_site_type_symbol
_atom_site_fract_x
_atom_site_fract_y
_atom_site_fract_z
Mn1 Mn 0.0000 0.0000 0.0000
Ag1 Ag 0.3333 0.6667 0.6982
Br1 Br 0.6667 0.3333 0.2857
```

=====

Record 2
Computed, not measured: MnAgBr at its PBEsol-relaxed geometry at the SCAN level of DFT.

Calculated values
For the raw total energy, the calculation gives -22.54 eV per atom. The calculation puts the volume at 260.7 Å³/cell. The mass density is 6.2 g/cm³.

Geometry as CIF:
```
data_MnAgBr
_space_group_name_H-M_alt 'F -4 3 m'
_space_group_IT_number 216
_space_group_name_Hall 'F -4 2 3'
_cell_length_a 6.388
_cell_length_b 6.388
_cell_length_c 6.388
_cell_angle_alpha 90.00
_cell_angle_beta 90.00
_cell_angle_gamma 90.00
loop_
_atom_site_label
_atom_site_type_symbol
_atom_site_fract_x
_atom_site_fract_y
_atom_site_fract_z
Mn1 Mn 0.000 0.000 0.000
Ag1 Ag 0.000 0.000 0.500
Br1 Br 0.250 0.250 0.750
```

=====

Record 3
Computed, not measured: Mn2ReAgBr at its PBEsol-relaxed geometry at the SCAN level of DFT.

Calculated values
For the raw total energy, the calculation gives -30.38 eV per atom. The calculation puts the volume at 120.8 Å³/cell. The mass density is 6.7 g/cm³.

Geometry as CIF:
```
data_Mn2ReAgBr
_space_group_name_H-M_alt 'P 4/m m m'
_space_group_IT_number 123
_space_group_name_Hall '-P 4 2'
_cell_length_a 4.928
_cell_length_b 4.928
_cell_length_c 4.975
_cell_angle_alpha 90.00
_cell_angle_beta 90.00
_cell_angle_gamma 90.00
loop_
_atom_site_label
_atom_site_type_symbol
_atom_site_fract_x
_atom_site_fract_y
_atom_site_fract_z
Mn1 Mn 0.000 0.500 0.000
Re1 Re 0.000 0.000 0.500
Ag1 Ag 0.000 0.000 0.000
Br1 Br 0.500 0.500 0.500
```

=====

Record 4
Computed, not measured: AgMo2Br at its PBEsol-relaxed geometry at the SCAN level of DFT.

Calculated values
For the raw total energy, the calculation gives -29.08 eV per atom. The calculation puts the volume at 62.6 Å³/cell. The mass density is 10.1 g/cm³.

Geometry as CIF:
```
data_AgMo2Br
_space_group_name_H-M_alt 'P 4/m m m'
_space_group_IT_number 123
_space_group_name_Hall '-P 4 2'
_cell_length_a 3.053
_cell_length_b 3.053
_cell_length_c 6.720
_cell_angle_alpha 90.00
_cell_angle_beta 90.00
_cell_angle_gamma 90.00
loop_
_atom_site_label
_atom_site_type_symbol
_atom_site_fract_x
_atom_site_fract_y
_atom_site_fract_z
Ag1 Ag 0.000 0.000 0.000
Mo1 Mo 0.500 0.500 0.266
Br1 Br 0.000 0.000 0.500
```

=====

Record 5
Computed, not measured: Ag2MoBr at its PBEsol-relaxed geometry at the SCAN level of DFT.

Calculated values
For the raw total energy, the calculation gives -28.71 eV per atom. The calculation puts the volume at 142.3 Å³/cell. The mass density is 9.1 g/cm³.

Geometry as CIF:
```
data_Ag2MoBr
_space_group_name_H-M_alt 'C m m m'
_space_group_IT_number 65
_space_group_name_Hall '-C 2 2'
_cell_length_a 3.131
_cell_length_b 4.765
_cell_length_c 9.536
_cell_angle_alpha 90.00
_cell_angle_beta 90.00
_cell_angle_gamma 90.00
loop_
_atom_site_label
_atom_site_type_symbol
_atom_site_fract_x
_atom_site_fract_y
_atom_site_fract_z
Ag1 Ag 0.000 0.000 0.240
Mo1 Mo 0.000 0.500 0.000
Br1 Br 0.000 0.500 0.500
```

=====

Record 6
Computed, not measured: AgMo2Br at its PBEsol-relaxed geometry at the SCAN level of DFT.

Calculated values
For the raw total energy, the calculation gives -29.06 eV per atom. The calculation puts the volume at 67.2 Å³/cell. The mass density is 9.4 g/cm³.

Geometry as CIF:
```
data_AgMo2Br
_space_group_name_H-M_alt 'P m m m'
_space_group_IT_number 47
_cell_length_a 3.105
_cell_length_b 4.514
_cell_length_c 4.795
_cell_angle_alpha 90.00
_cell_angle_beta 90.00
_cell_angle_gamma 90.00
loop_
_space_group_symop_operation_xyz
'x,y,z'
'-x,-y,-z'
'-x,-y,z'
'x,y,-z'
'x,-y,-z'
'-x,y,z'
'-x,y,-z'
'x,-y,z'
loop_
_atom_site_label
_atom_site_type_symbol
_atom_site_fract_x
_atom_site_fract_y
_atom_site_fract_z
Ag1 Ag 0.000 0.000 0.000
Mo1 Mo 0.000 0.500 0.500
Mo2 Mo 0.500 0.000 0.500
Br1 Br 0.500 0.500 0.000
```

=====

Record 7
Computed, not measured: Ag2MoBr at its PBEsol-relaxed geometry at the SCAN level of DFT.

Calculated values
For the raw total energy, the calculation gives -28.51 eV per atom. The calculation puts the volume at 69.9 Å³/cell. The mass density is 9.3 g/cm³.

Geometry as CIF:
```
data_Ag2MoBr
_space_group_name_H-M_alt 'P m m m'
_space_group_IT_number 47
_cell_length_a 2.938
_cell_length_b 4.609
_cell_length_c 5.163
_cell_angle_alpha 90.00
_cell_angle_beta 90.00
_cell_angle_gamma 90.00
loop_
_space_group_symop_operation_xyz
'x,y,z'
'-x,-y,-z'
'-x,-y,z'
'x,y,-z'
'x,-y,-z'
'-x,y,z'
'-x,y,-z'
'x,-y,z'
loop_
_atom_site_label
_atom_site_type_symbol
_atom_site_fract_x
_atom_site_fract_y
_atom_site_fract_z
Ag1 Ag 0.000 0.000 0.000
Ag2 Ag 0.500 0.500 0.000
Mo1 Mo 0.000 0.500 0.500
Br1 Br 0.500 0.000 0.500
```

=====

Record 8
Computed, not measured: AgMo2Br at its PBEsol-relaxed geometry at the SCAN level of DFT.

Calculated values
For the raw total energy, the calculation gives -29.85 eV per atom. The calculation puts the volume at 221.4 Å³/cell. The mass density is 8.5 g/cm³.

Geometry as CIF:
```
data_AgMo2Br
_space_group_name_H-M_alt 'R 3 m'
_space_group_IT_number 160
_space_group_name_Hall 'R 3 -2"'
_cell_length_a 3.1592
_cell_length_b 3.1592
_cell_length_c 25.6150
_cell_angle_alpha 90.00
_cell_angle_beta 90.00
_cell_angle_gamma 120.00
loop_
_atom_site_label
_atom_site_type_symbol
_atom_site_fract_x
_atom_site_fract_y
_atom_site_fract_z
Ag1 Ag 0.0000 0.0000 0.0000
Mo1 Mo 0.0000 0.0000 0.2448
Mo2 Mo 0.0000 0.0000 0.5130
Br1 Br 0.0000 0.0000 0.7653
```

=====

Record 9
Computed, not measured: AgSb2MoBr at its PBEsol-relaxed geometry at the SCAN level of DFT.

Calculated values
For the raw total energy, the calculation gives -30.94 eV per atom. The calculation puts the volume at 139.0 Å³/cell. The mass density is 6.3 g/cm³.

Geometry as CIF:
```
data_AgSb2MoBr
_space_group_name_H-M_alt 'P 4/m m m'
_space_group_IT_number 123
_space_group_name_Hall '-P 4 2'
_cell_length_a 5.263
_cell_length_b 5.263
_cell_length_c 5.018
_cell_angle_alpha 90.00
_cell_angle_beta 90.00
_cell_angle_gamma 90.00
loop_
_atom_site_label
_atom_site_type_symbol
_atom_site_fract_x
_atom_site_fract_y
_atom_site_fract_z
Ag1 Ag 0.000 0.000 0.000
Sb1 Sb 0.000 0.500 0.000
Mo1 Mo 0.500 0.500 0.500
Br1 Br 0.000 0.000 0.500
```

=====

Record 10
Computed, not measured: AgMoSe2Br at its PBEsol-relaxed geometry at the SCAN level of DFT.

Calculated values
For the raw total energy, the calculation gives -24.29 eV per atom. The calculation puts the volume at 124.0 Å³/cell. The mass density is 5.9 g/cm³.

Geometry as CIF:
```
data_AgMoSe2Br
_space_group_name_H-M_alt 'P 4/m m m'
_space_group_IT_number 123
_space_group_name_Hall '-P 4 2'
_cell_length_a 5.008
_cell_length_b 5.008
_cell_length_c 4.944
_cell_angle_alpha 90.00
_cell_angle_beta 90.00
_cell_angle_gamma 90.00
loop_
_atom_site_label
_atom_site_type_symbol
_atom_site_fract_x
_atom_site_fract_y
_atom_site_fract_z
Ag1 Ag 0.000 0.000 0.000
Mo1 Mo 0.500 0.500 0.500
Se1 Se 0.000 0.500 0.000
Br1 Br 0.000 0.000 0.500
```

=====

Record 11
Computed, not measured: AgBrN2 at its PBEsol-relaxed geometry at the SCAN level of DFT.

Calculated values
For the raw total energy, the calculation gives -15.43 eV per atom. The calculation puts the volume at 166.6 Å³/cell. The mass density is 6.5 g/cm³.

Geometry as CIF:
```
data_AgBrN2
_space_group_name_H-M_alt 'R -3 m'
_space_group_IT_number 166
_space_group_name_Hall '-R 3 2"'
_cell_length_a 3.1882
_cell_length_b 3.1882
_cell_length_c 18.9304
_cell_angle_alpha 90.00
_cell_angle_beta 90.00
_cell_angle_gamma 120.00
loop_
_atom_site_label
_atom_site_type_symbol
_atom_site_fract_x
_atom_site_fract_y
_atom_site_fract_z
Ag1 Ag 0.0000 0.0000 0.0000
Br1 Br 0.0000 0.0000 0.5000
N1 N 0.0000 0.0000 0.1075
```

=====

Record 12
Computed, not measured: NaAgBr2 at its PBEsol-relaxed geometry at the SCAN level of DFT.

Calculated values
For the raw total energy, the calculation gives -19.60 eV per atom. The calculation puts the volume at 389.2 Å³/cell. The mass density is 3.7 g/cm³.

Geometry as CIF:
```
data_NaAgBr2
_space_group_name_H-M_alt 'R -3 m'
_space_group_IT_number 166
_space_group_name_Hall '-R 3 2"'
_cell_length_a 4.3631
_cell_length_b 4.3631
_cell_length_c 23.6056
_cell_angle_alpha 90.00
_cell_angle_beta 90.00
_cell_angle_gamma 120.00
loop_
_atom_site_label
_atom_site_type_symbol
_atom_site_fract_x
_atom_site_fract_y
_atom_site_fract_z
Na1 Na 0.0000 0.0000 0.0000
Ag1 Ag 0.0000 0.0000 0.5000
Br1 Br 0.0000 0.0000 0.3973
```

=====

> What is the formula in the first record?

MnAgBr

=====

> What is the raw total energy in the tenth record?

-24.29 eV per atom

=====

> Among the records above, which one has the highest volume?

NaAgBr2

=====

> Number 8 is which compound?

AgMo2Br